Computed, not measured: a relaxed structure of RhC2 at the PBEsol level of DFT.

Unit cell a=2.9567 b=2.9567 c=3.8839 alpha=90.00 beta=90.00 gamma=90.00
Fractional coordinates of all 3 atoms:
Rh  0.0000  0.0000  0.0000
C  0.0000  0.0000  0.5000
C  0.5000  0.5000  0.0000

energy above the most stable polymorph in this dataset: 1700.9 meV/atom
density of states at the Fermi level: 0.5638 states/eV/atom
calculated volume: 11.32 A^3/atom
energy of formation: 2.142 eV per atom
E: -7.00 eV per atom


Computed, not measured: a relaxed structure of SnTe2ICl at the PBEsol level of DFT.

Unit cell a=5.6429 b=5.6429 c=5.7181 alpha=90.00 beta=90.00 gamma=90.00
Fractional coordinates of all 5 atoms:
Sn  0.0000  0.0000  0.0000
Te  0.0000  0.5000  0.0000
Te  0.5000  0.0000  0.0000
I  0.0000  0.0000  0.5000
Cl  0.5000  0.5000  0.5000

density of states at the Fermi level: 1.5831 states/eV/atom
calculated volume: 36.41 A^3/atom
raw formation energy: 40 kJ/mol of atoms
E: -2.60 eV per atom


Computed, not measured: a relaxed structure of YSi3I at the PBEsol level of DFT.

Unit cell a=5.1163 b=5.1163 c=5.1163 alpha=90.00 beta=90.00 gamma=90.00
Fractional coordinates of all 5 atoms:
Y  0.0000  0.0000  0.0000
Si  0.0000  0.5000  0.5000
Si  0.5000  0.0000  0.5000
Si  0.5000  0.5000  0.0000
I  0.5000  0.5000  0.5000

density of states at the Fermi level: 0.6862 states/eV/atom
calculated volume: 26.79 A^3/atom
raw formation energy: 104 kJ/mol of atoms
E: -4.09 eV per atom


Computed, not measured: a relaxed structure of Re3GeC at the PBEsol level of DFT.

Unit cell a=4.0561 b=4.0561 c=4.0561 alpha=90.00 beta=90.00 gamma=90.00
Fractional coordinates of all 5 atoms:
Re  0.0000  0.0000  0.5000
Re  0.0000  0.5000  0.0000
Re  0.5000  0.0000  0.0000
Ge  0.5000  0.5000  0.5000
C  0.0000  0.0000  0.0000

density of states at the Fermi level: 0.9585 states/eV/atom
calculated volume: 13.35 A^3/atom
energy of formation: 0.538 eV per atom
E: -10.38 eV per atom


> What is the density of states at the Fermi level in the fourth record?

0.9585 states/eV/atom


> Among the records above, which one has the highest calculated volume?

SnTe2ICl